A geometry-optimized TmPuSe2N structure. Source: Alexandria via LeMat-Bulk, functional PBE.

Formation energy without anion corrections   -7.77 eV/f.u.

a b c (Å): 3.907 3.907 14.327
angles (deg): 90.00 90.00 90.00
Last column: magnetic moment on the atom in μB.
Element x y z (fractional)
Tm (0.500, 0.000, 0.125)  -0.01
Tm (0.000, 0.500, 0.875)  -0.01
Pu (0.500, 0.000, 0.578)  4.27
Pu (0.000, 0.500, 0.422)  4.27
Se (0.000, 0.500, 0.690)  -0.10
Se (0.000, 0.500, 0.089)  0.00
Se (0.500, 0.000, 0.911)  0.00
Se (0.500, 0.000, 0.310)  -0.10
N (0.000, 0.000, 0.500)  -0.30
N (0.500, 0.500, 0.500)  -0.30

A geometry-optimized TlHg4Bi structure. Source: Alexandria via LeMat-Bulk, functional PBE.

Offset from the most stable computed form   0 meV/atom
DFT formation energy   0.20 eV per formula unit

a b c (Å): 3.346 4.704 12.613
angles (deg): 90.00 118.74 90.00
Element x y z (fractional)
Tl (0.500, 0.500, 0.500)
Hg (0.358, 0.000, 0.674)
Hg (0.060, 0.500, 0.818)
Hg (0.642, 0.000, 0.326)
Hg (0.940, 0.500, 0.182)
Bi (0.500, 0.000, 0.000)

A geometry-optimized TlAg2PbF8 structure. Source: Alexandria via LeMat-Bulk, functional PBE.

Formation energy without anion corrections   -19.82 eV/f.u.

a b c (Å): 4.169 5.671 7.901
angles (deg): 85.43 90.02 90.03
Last column: magnetic moment on the atom in μB.
Element x y z (fractional)
Tl (0.000, 0.000, 0.000)  0.00
Ag (0.499, 0.495, 0.755)  0.33
Ag (0.501, 0.505, 0.245)  0.33
Pb (0.000, 0.000, 0.500)  0.00
F (0.004, 0.760, 0.243)  0.02
F (0.504, 0.768, 0.019)  0.07
F (0.996, 0.240, 0.208)  0.01
F (0.996, 0.240, 0.757)  0.02
F (0.496, 0.232, 0.981)  0.07
F (0.004, 0.760, 0.792)  0.01
F (0.501, 0.740, 0.525)  0.07
F (0.499, 0.260, 0.475)  0.07

A geometry-optimized Sm2Fe20Si2C structure. Source: Alexandria via LeMat-Bulk, functional PBE.

Formation energy without anion corrections   -2.71 eV/f.u.

a b c (Å): 6.374 7.752 7.802
angles (deg): 79.92 66.13 66.45
Last column: magnetic moment on the atom in μB.
Element x y z (fractional)
Sm (0.871, 0.253, 0.253)  -0.23
Sm (0.129, 0.747, 0.747)  -0.23
Fe (0.934, 0.825, 0.416)  1.77
Fe (0.678, 0.081, 0.676)  1.77
Fe (0.363, 0.338, 0.580)  2.46
Fe (0.777, 0.918, 0.164)  2.30
Fe (0.943, 0.424, 0.838)  2.29
Fe (0.685, 0.673, 0.080)  2.08
Fe (0.354, 0.577, 0.320)  2.25
Fe (0.762, 0.176, 0.923)  2.16
Fe (0.066, 0.175, 0.584)  1.77
Fe (0.322, 0.919, 0.324)  1.77
Fe (0.637, 0.662, 0.420)  2.46
Fe (0.223, 0.082, 0.836)  2.30
Fe (0.057, 0.576, 0.162)  2.29
Fe (0.315, 0.327, 0.920)  2.08
Fe (0.646, 0.423, 0.680)  2.25
Fe (0.238, 0.824, 0.077)  2.16
Fe (0.621, 0.749, 0.752)  2.52
Fe (0.379, 0.251, 0.248)  2.52
Fe (0.500, 0.000, 0.500)  2.41
Fe (0.000, 0.500, 0.500)  2.15
Si (0.500, 0.000, 0.000)  -0.11
Si (0.500, 0.500, 0.000)  -0.12
C (0.000, 0.000, 0.500)  -0.13

A geometry-optimized LiAuO3 structure. Source: Alexandria via LeMat-Bulk, functional PBE.

Formation energy without anion corrections   1.69 eV/f.u.

a b c (Å): 3.759 3.759 3.759
angles (deg): 90.00 90.00 90.00
Last column: magnetic moment on the atom in μB.
Element x y z (fractional)
Li (0.000, 0.000, 0.000)  -0.02
Au (0.500, 0.500, 0.500)  0.51
O (0.000, 0.500, 0.000)  1.02
O (0.000, 0.000, 0.500)  1.02
O (0.500, 0.000, 0.000)  1.02

A geometry-optimized Cs2AuBrO structure. Source: Alexandria via LeMat-Bulk, functional PBE.

Formation energy without anion corrections   -5.48 eV/f.u.

a b c (Å): 6.348 6.348 4.074
angles (deg): 90.00 90.00 90.00
Element x y z (fractional)
Cs (0.000, 0.500, 0.000)
Cs (0.500, 0.000, 0.000)
Au (0.000, 0.000, 0.500)
O (0.000, 0.000, 0.000)
Br (0.500, 0.500, 0.500)

A geometry-optimized AcSb4Cl structure. Source: Alexandria via LeMat-Bulk, functional PBE.

Formation energy without anion corrections   -2.61 eV/f.u.

a b c (Å): 6.323 6.323 6.323
angles (deg): 60.00 60.00 60.00
Element x y z (fractional)
Sb (0.627, 0.627, 0.119)
Sb (0.627, 0.119, 0.627)
Sb (0.627, 0.627, 0.627)
Sb (0.119, 0.627, 0.627)
Ac (0.250, 0.250, 0.250)
Cl (0.000, 0.000, 0.000)

A geometry-optimized SmEuYTl structure. Source: Alexandria via LeMat-Bulk, functional PBE.

DFT formation energy   -0.22 eV per formula unit

a b c (Å): 5.570 5.570 5.570
angles (deg): 60.00 60.00 60.00
Last column: magnetic moment on the atom in μB.
Element x y z (fractional)
Eu (0.500, 0.500, 0.500)  6.95
Y (0.750, 0.750, 0.750)  0.16
Tl (0.000, 0.000, 0.000)  -0.02
Sm (0.250, 0.250, 0.250)  0.15

A geometry-optimized RbPu2F8 structure. Source: Alexandria via LeMat-Bulk, functional PBE.

Formation energy without anion corrections   -37.90 eV/f.u.
Offset from the most stable computed form   28 meV/atom

a b c (Å): 5.529 5.529 6.864
angles (deg): 90.00 90.00 90.00
Last column: magnetic moment on the atom in μB.
Element x y z (fractional)
Rb (0.500, 0.500, 0.500)  0.00
Pu (0.500, 0.000, 0.000)  4.54
Pu (0.000, 0.500, 0.000)  4.54
F (0.747, 0.747, 0.185)  -0.02
F (0.747, 0.253, 0.815)  -0.02
F (0.747, 0.747, 0.815)  -0.02
F (0.747, 0.253, 0.185)  -0.02
F (0.253, 0.747, 0.185)  -0.02
F (0.253, 0.747, 0.815)  -0.02
F (0.253, 0.253, 0.185)  -0.02
F (0.253, 0.253, 0.815)  -0.02

A geometry-optimized Li2AuSe structure. Source: Alexandria via LeMat-Bulk, functional PBE.

Formation energy without anion corrections   -1.92 eV/f.u.
Offset from the most stable computed form   192 meV/atom

a b c (Å): 3.546 3.546 5.517
angles (deg): 90.00 90.00 90.00
Element x y z (fractional)
Au (0.500, 0.500, 0.793)
Li (0.000, 0.000, 0.968)
Li (0.500, 0.500, 0.284)
Se (0.000, 0.000, 0.454)

A geometry-optimized BaHgRu structure. Source: Alexandria via LeMat-Bulk, functional PBE.

Offset from the most stable computed form   57 meV/atom
DFT formation energy   1.06 eV per formula unit

a b c (Å): 6.214 6.214 3.775
angles (deg): 72.32 72.32 35.36
Element x y z (fractional)
Ba (0.000, 0.000, 0.000)
Hg (0.716, 0.716, 0.284)
Ru (0.284, 0.284, 0.716)

A geometry-optimized YRu structure. Source: Alexandria via LeMat-Bulk, functional PBE.

DFT formation energy   -0.26 eV per formula unit

a b c (Å): 3.177 8.353 6.353
angles (deg): 90.00 105.80 90.00
Element x y z (fractional)
Y (0.000, 0.705, 0.000)
Y (0.000, 0.295, 0.000)
Y (0.000, 0.205, 0.500)
Y (0.000, 0.795, 0.500)
Ru (0.617, 0.000, 0.815)
Ru (0.383, 0.000, 0.185)
Ru (0.617, 0.500, 0.315)
Ru (0.383, 0.500, 0.685)

A geometry-optimized CaCdSn structure. Source: Alexandria via LeMat-Bulk, functional PBE.

DFT formation energy   -1.20 eV per formula unit

a b c (Å): 5.216 3.634 8.571
angles (deg): 90.00 90.00 90.00
Element x y z (fractional)
Ca (0.797, 0.358, 0.431)
Ca (0.297, 0.358, 0.943)
Sn (0.297, 0.857, 0.276)
Sn (0.797, 0.857, 0.098)
Cd (0.297, 0.857, 0.617)
Cd (0.797, 0.857, 0.757)

A geometry-optimized ReMoCl structure. Source: Alexandria via LeMat-Bulk, functional PBE.

Formation energy without anion corrections   1.49 eV/f.u.
Offset from the most stable computed form   153 meV/atom

a b c (Å): 7.103 6.812 2.971
angles (deg): 83.23 72.23 24.54
Element x y z (fractional)
Cl (0.011, 0.011, 0.989)
Mo (0.673, 0.673, 0.327)
Re (0.316, 0.316, 0.684)

A geometry-optimized Pa2BeCo3P4 structure. Source: Alexandria via LeMat-Bulk, functional PBE.

DFT formation energy   -8.98 eV per formula unit

a b c (Å): 3.985 3.985 8.786
angles (deg): 90.00 90.00 90.00
Element x y z (fractional)
Pa (0.500, 0.000, 0.253)
Pa (0.000, 0.500, 0.747)
Be (0.500, 0.500, 0.500)
Co (0.000, 0.000, 0.500)
Co (0.500, 0.000, 0.888)
Co (0.000, 0.500, 0.112)
P (0.500, 0.500, 0.000)
P (0.000, 0.000, 0.000)
P (0.500, 0.000, 0.632)
P (0.000, 0.500, 0.368)

A geometry-optimized Sr3H4O4 structure. Source: Alexandria via LeMat-Bulk, functional PBE.

VASP energy   -5.109 eV/atom

a b c (Å): 3.529 3.919 15.020
angles (deg): 59.35 83.12 90.00
Element x y z (fractional)
Sr (0.154, 0.640, 0.699)
Sr (0.846, 0.361, 0.301)
Sr (0.000, 0.000, 0.000)
H (0.569, 0.595, 0.866)
H (0.291, 0.641, 0.410)
H (0.709, 0.359, 0.590)
H (0.432, 0.405, 0.134)
O (0.574, 0.365, 0.855)
O (0.426, 0.635, 0.145)
O (0.330, 0.793, 0.333)
O (0.670, 0.207, 0.667)

A geometry-optimized Ba2HgBiPt structure. Source: Alexandria via LeMat-Bulk, functional PBE.

DFT formation energy   -3.07 eV per formula unit

a b c (Å): 6.087 6.087 5.236
angles (deg): 90.00 90.00 90.00
Element x y z (fractional)
Ba (0.000, 0.500, 0.000)
Ba (0.500, 0.000, 0.000)
Bi (0.500, 0.500, 0.500)
Pt (0.000, 0.000, 0.000)
Hg (0.000, 0.000, 0.500)

A geometry-optimized BaCuRe structure. Source: Alexandria via LeMat-Bulk, functional PBE.

Offset from the most stable computed form   1198 meV/atom
DFT formation energy   6.40 eV per formula unit

a b c (Å): 5.152 5.152 5.152
angles (deg): 60.00 60.00 60.00
Last column: magnetic moment on the atom in μB.
Element x y z (fractional)
Ba (0.750, 0.750, 0.750)  0.05
Cu (0.000, 0.000, 0.000)  0.09
Re (0.500, 0.500, 0.500)  2.99

A geometry-optimized TiAgIO2 structure. Source: Alexandria via LeMat-Bulk, functional PBE.

Formation energy without anion corrections   2.32 eV/f.u.
Offset from the most stable computed form   1783 meV/atom

a b c (Å): 4.143 4.143 5.381
angles (deg): 90.00 90.00 90.00
Element x y z (fractional)
I (0.000, 0.000, 0.500)
O (0.000, 0.500, 0.000)
O (0.500, 0.000, 0.000)
Ag (0.000, 0.000, 0.000)
Ti (0.500, 0.500, 0.500)

A geometry-optimized PrSi2Ru4 structure. Source: Alexandria via LeMat-Bulk, functional PBE.

Formation energy without anion corrections   -3.93 eV/f.u.

a b c (Å): 3.895 7.607 7.607
angles (deg): 90.00 90.00 90.00
Element x y z (fractional)
Pr (0.500, 0.000, 0.000)
Pr (0.000, 0.500, 0.500)
Si (0.000, 0.220, 0.780)
Si (0.000, 0.780, 0.220)
Si (0.500, 0.720, 0.720)
Si (0.500, 0.280, 0.280)
Ru (0.000, 0.078, 0.342)
Ru (0.000, 0.922, 0.658)
Ru (0.500, 0.158, 0.578)
Ru (0.500, 0.842, 0.422)
Ru (0.500, 0.422, 0.842)
Ru (0.500, 0.578, 0.158)
Ru (0.000, 0.342, 0.078)
Ru (0.000, 0.658, 0.922)